# 1
Material: Ga4PdAu2
Method: DFT, PBE-GGA
State: relaxed

a = 3.4233 Å, b = 6.3527 Å, c = 6.9796 Å
α = 118.95°, β = 104.20°, γ = 90.00°
Last column: nearest neighbours and their distance in Å.
Sites, in units of the cell vectors:
Ga 0.0867 0.7176 0.1733  1 Ga 2.58, 1 Pd 2.59, 3 Au 2.67-2.73
Au 0.7532 0.7992 0.5064  6 Ga 2.60-2.74
Au 0.2468 0.2008 0.4936  6 Ga 2.60-2.74
Ga 0.6272 0.3288 0.2543  2 Pd 2.58, 3 Au 2.60-2.74
Ga 0.9133 0.2824 0.8267  1 Ga 2.58, 1 Pd 2.59, 3 Au 2.67-2.73
Pd 0.0000 0.0000 0.0000  6 Ga 2.58-2.59
Ga 0.3728 0.6712 0.7457  2 Pd 2.58, 3 Au 2.60-2.74

Values from the calculation:
**Space-group type**: C2/m (12)
**DFT formation energy**: -29 kJ/mol of atoms
**Electronic total energy**: -3.704 eV/atom

# 2
Material: LiCo2Ni6
Method: DFT, PBE-GGA
State: relaxed

a = 2.4417 Å, b = 7.1390 Å, c = 7.1390 Å
α = 56.75°, β = 80.15°, γ = 80.15°
Last column: nearest neighbours and their distance in Å.
Sites, in units of the cell vectors:
Co 0.3510 0.1490 0.1490  2 Co 2.44, 10 Ni 2.48-2.52
Ni 0.8251 0.8530 0.4968  6 Ni 2.38-2.44, 3 Co 2.48-2.52
Co 0.6490 0.8510 0.8510  2 Co 2.44, 10 Ni 2.48-2.52
Ni 0.1749 0.5032 0.1470  6 Ni 2.38-2.44, 3 Co 2.48-2.52
Ni 0.8251 0.4968 0.8530  6 Ni 2.38-2.44, 3 Co 2.48-2.52
Ni 0.0000 0.1730 0.8270  5 Ni 2.35-2.44, 4 Co 2.50, 2 Li 2.53
Ni 0.0000 0.8270 0.1730  5 Ni 2.35-2.44, 4 Co 2.50, 2 Li 2.53
Ni 0.1749 0.1470 0.5032  6 Ni 2.38-2.44, 3 Co 2.48-2.52
Li 0.5000 0.5000 0.5000  2 Li 2.44, 4 Ni 2.53

Values from the calculation:
**Space-group type**: Immm (71)
**DFT formation energy**: 11 kJ/mol of atoms
**Electronic total energy**: -5.532 eV/atom

# 3
Material: SmNp2S3
Method: DFT, PBE-GGA
State: relaxed

a = 8.8116 Å, b = 8.8116 Å, c = 8.8116 Å
α = 154.11°, β = 154.11°, γ = 36.94°
Last column: nearest neighbours and their distance in Å.
Sites, in units of the cell vectors:
S 0.1692 0.1692 0.0000  5 Np 2.75-2.79, 1 Sm 2.83
Np 0.6660 0.6660 0.0000  6 S 2.75-2.79
Sm 0.0000 0.0000 0.0000  6 S 2.79-2.83
S 0.5000 0.5000 0.0000  2 Np 2.77, 4 Sm 2.79
Np 0.3340 0.3340 0.0000  6 S 2.75-2.79
S 0.8308 0.8308 0.0000  5 Np 2.75-2.79, 1 Sm 2.83

Values from the calculation:
**Space-group type**: I4/mmm (139)
**Electronic total energy**: -8.747 eV/atom

# 4
Material: SiHgOs2
Method: DFT, PBE-GGA
State: relaxed

a = 9.0876 Å, b = 9.0876 Å, c = 9.0876 Å
α = 18.19°, β = 18.19°, γ = 18.19°
Last column: nearest neighbours and their distance in Å.
Sites, in units of the cell vectors:
Hg 0.7505 0.7505 0.7505  6 Hg 2.87, 3 Os 2.99, 3 Si 3.00
Si 0.5106 0.5106 0.5106  3 Os 2.51
Os 0.2477 0.2477 0.2477  3 Si 2.51, 3 Os 2.65
Os 0.9912 0.9912 0.9912  9 Os 2.65-2.87

Values from the calculation:
**Energy relative to the lowest polymorph listed for this composition**: 52 kJ/mol of formula units
**Space-group type**: R3m (160)
**Electronic total energy**: -6.653 eV/atom

# 5
Material: NaH4C3N3O4
Method: DFT, PBE-GGA
State: relaxed

a = 3.9044 Å, b = 9.1673 Å, c = 9.2678 Å
α = 91.65°, β = 95.35°, γ = 90.26°
Last column: nearest neighbours and their distance in Å.
Sites, in units of the cell vectors:
C 0.2986 0.0103 0.1960  1 O 1.25, 2 N 1.36-1.37
H 0.9883 0.6499 0.3859  1 O 0.99
N 0.6516 0.8685 0.8821  1 H 1.04
C 0.2727 0.2737 0.1634  1 O 1.26, 2 N 1.35-1.40
O 0.3696 0.8849 0.1510  1 C 1.25
N 0.1673 0.0379 0.3253  1 H 1.05
C 0.0919 0.1793 0.3751  1 O 1.26, 2 N 1.35-1.40
H 0.5517 0.8802 0.9819  1 N 1.04
Na 0.4292 0.6221 0.1531  5 O 2.36-2.43
C 0.7014 0.9897 0.8040  1 O 1.25, 2 N 1.36-1.37
N 0.3484 0.1315 0.1179  1 H 1.04
O 0.9732 0.1913 0.4967  1 C 1.26
O 0.6712 0.6257 0.9205  1 C 1.26
H 0.9897 0.5140 0.6826  1 O 1.00
O 0.6304 0.1151 0.8490  1 C 1.25
O 0.9554 0.5896 0.2952  2 H 0.99-1.00
H 0.8798 0.0495 0.6090  1 N 1.05
H 0.0103 0.4860 0.3174  1 O 1.00
C 0.7273 0.7263 0.8366  1 O 1.26, 2 N 1.35-1.40
C 0.9081 0.8207 0.6249  1 O 1.26, 2 N 1.35-1.40
H 0.1202 0.9505 0.3910  1 N 1.05
N 0.8564 0.7052 0.7073  2 C 1.35
O 0.3288 0.3743 0.0795  1 C 1.26
O 0.0446 0.4104 0.7048  2 H 0.99-1.00
N 0.8327 0.9621 0.6747  1 H 1.05
H 0.4483 0.1198 0.0181  1 N 1.04
O 0.0268 0.8087 0.5033  1 C 1.26
N 0.1436 0.2948 0.2927  2 C 1.35
Na 0.5708 0.3779 0.8469  5 O 2.36-2.43
H 0.0117 0.3501 0.6141  1 O 0.99

Values from the calculation:
**Space-group type**: P-1 (2)
**Electronic total energy**: -6.679 eV/atom

# 6
Material: CsPtAu
Method: DFT, PBE-GGA
State: relaxed

a = 4.0775 Å, b = 5.7723 Å, c = 8.2549 Å
α = 110.48°, β = 104.34°, γ = 89.99°
Last column: nearest neighbours and their distance in Å.
Sites, in units of the cell vectors:
Cs 0.0923 0.0163 0.3031  2 Pt 3.24
Cs 0.7183 0.6423 0.5551  2 Pt 3.24
Pt 0.8161 0.2404 0.7515  1 Pt 2.65, 4 Au 2.84
Au 0.4053 0.5824 0.9291  4 Pt 2.84, 2 Au 2.85-2.92
Au 0.4054 0.0761 0.9292  4 Pt 2.84, 2 Au 2.85-2.92
Pt 0.9945 0.4182 0.1068  1 Pt 2.65, 4 Au 2.84

Values from the calculation:
**Energy relative to the lowest polymorph listed for this composition**: 85 kJ/mol of formula units
**Space-group type**: Immm (71)
**DFT formation energy**: 23 kJ/mol of atoms
**Electronic total energy**: -3.157 eV/atom

# 7
Material: Np2Tl3PdS6
Method: DFT, PBE-GGA
State: relaxed

a = 6.7569 Å, b = 6.7569 Å, c = 7.8903 Å
α = 97.80°, β = 97.80°, γ = 120.82°
Last column: nearest neighbours and their distance in Å.
Sites, in units of the cell vectors:
Pd 0.0000 0.0000 0.0000  6 S 2.60-2.79
Tl 0.1616 0.8384 0.5000  6 S 3.18-3.24
S 0.9352 0.5882 0.7993  2 Np 2.66-2.68, 1 Pd 2.79
S 0.4118 0.0648 0.2007  2 Np 2.66-2.68, 1 Pd 2.79
S 0.2668 0.2668 0.8139  1 Pd 2.60, 2 Np 2.67
S 0.5882 0.9352 0.7993  2 Np 2.66-2.68, 1 Pd 2.79
S 0.0648 0.4118 0.2007  2 Np 2.66-2.68, 1 Pd 2.79
Tl 0.5000 0.5000 0.5000  6 S 3.24-3.27
Np 0.3336 0.6664 0.0000  6 S 2.66-2.68
Tl 0.8384 0.1616 0.5000  6 S 3.18-3.24
Np 0.6664 0.3336 0.0000  6 S 2.66-2.68
S 0.7332 0.7332 0.1861  1 Pd 2.60, 2 Np 2.67

Values from the calculation:
**Space-group type**: C2/m (12)
**Electronic total energy**: -6.027 eV/atom

# 8
Material: DyPaN3
Method: DFT, PBE-GGA
State: relaxed

a = 3.6247 Å, b = 6.8412 Å, c = 7.1026 Å
α = 120.70°, β = 104.78°, γ = 90.00°
Last column: nearest neighbours and their distance in Å.
Sites, in units of the cell vectors:
N 0.5917 0.7645 0.1833  2 Pa 2.27, 2 Dy 2.34-2.46
N 0.0601 0.2234 0.1202  2 Pa 2.24, 2 Dy 2.25
N 0.2706 0.7518 0.5413  2 Pa 2.37, 1 Dy 2.56
Dy 0.3808 0.5458 0.7616  4 N 2.25-2.46
Pa 0.8685 0.0048 0.7369  6 N 2.24-2.37
Dy 0.6192 0.4542 0.2384  4 N 2.25-2.46
N 0.7294 0.2482 0.4587  2 Pa 2.37, 1 Dy 2.56
N 0.4083 0.2355 0.8167  2 Pa 2.27, 2 Dy 2.34-2.46
N 0.9399 0.7766 0.8798  2 Pa 2.24, 2 Dy 2.25
Pa 0.1315 0.9952 0.2631  6 N 2.24-2.37

Values from the calculation:
**Space-group type**: C2/m (12)
**Electronic total energy**: -9.166 eV/atom